<w>
Below is a geometry-optimized Tb2Nd7Y3 structure, with properties calculated at the GGA-PBE level.

Summary:
* symmetry: R-3m

a b c (Å): 6.6500 6.6500 11.8425
angles (deg): 73.69 73.69 60.00
Sites, in units of the cell vectors:
Nd 0.4113 0.9234 0.2540
Nd 0.9234 0.4113 0.2540
Nd 0.5887 0.5887 0.7460
Tb 0.6653 0.6653 0.0040
Nd 0.5000 0.5000 0.5000
Nd 0.0766 0.5887 0.7460
Tb 0.3347 0.3347 0.9960
Y 0.8491 0.8491 0.4528
Nd 0.4113 0.4113 0.2540
Y 0.0000 0.0000 0.0000
Nd 0.5887 0.0766 0.7460
Y 0.1509 0.1509 0.5472

=====

<x>
Below is a geometry-optimized Tb2Nd7Y3 structure, with properties calculated at the GGA-PBE level.

Summary:
* symmetry: P2/m

a b c (Å): 3.6464 5.9171 19.1052
angles (deg): 93.63 90.00 90.00
Sites, in units of the cell vectors:
Nd 0.5000 0.7419 0.4649
Nd 0.0000 0.6758 0.1455
Nd 0.5000 0.8224 0.8172
Y 0.5000 0.5000 0.0000
Nd 0.5000 0.2581 0.5351
Nd 0.5000 0.1776 0.1828
Nd 0.0000 0.3242 0.8545
Tb 0.5000 0.7053 0.2975
Y 0.0000 0.2162 0.3671
Tb 0.5000 0.2947 0.7025
Nd 0.0000 0.0000 0.0000
Y 0.0000 0.7838 0.6329

=====

Which structure wins on stability? <x> wins.

=====

<w>
Below is a geometry-optimized TbNd2Y7 structure, with properties calculated at the GGA-PBE level.

Summary:
* symmetry: Cmmm

a b c (Å): 3.5330 14.9085 14.9085
angles (deg): 154.61 90.00 90.00
Sites, in units of the cell vectors:
Tb 0.0000 0.0000 0.0000
Y 0.5000 0.3439 0.1478
Y 0.0000 0.8142 0.1857
Nd 0.5000 0.2927 0.7073
Y 0.5000 0.8522 0.6561
Y 0.5000 0.5000 0.5000
Y 0.0000 0.1858 0.8143
Nd 0.5000 0.7073 0.2927
Y 0.5000 0.1478 0.3439
Y 0.5000 0.6561 0.8522

=====

<x>
Below is a geometry-optimized TbNd2Y7 structure, with properties calculated at the GGA-PBE level.

Summary:
* symmetry: P-1

a b c (Å): 8.0222 9.4912 9.5023
angles (deg): 141.79 53.78 132.42
Sites, in units of the cell vectors:
Y 0.0002 0.5997 0.3997
Nd 0.5013 0.0995 0.3991
Y 0.9998 0.4003 0.6003
Y 0.9995 0.1992 0.7998
Nd 0.4987 0.9005 0.6009
Y 0.5001 0.2994 0.1998
Y 0.4999 0.7006 0.8002
Y 0.0005 0.8008 0.2002
Tb 0.0000 0.0000 0.0000
Y 0.5000 0.5000 0.0000

=====

Which structure wins on stability? <x> wins.

=====

<w>
Below is a geometry-optimized Tb7NdY3 structure, with properties calculated at the GGA-PBE level.

Summary:
* symmetry: P3m1

a b c (Å): 8.6633 7.0926 7.0926
angles (deg): 120.00 90.00 90.00
Sites, in units of the cell vectors:
Tb 0.4492 0.3360 0.1680
Tb 0.1164 0.1679 0.8321
Tb 0.4492 0.8320 0.6640
Y 0.7844 0.5005 0.4995
Y 0.7844 0.9991 0.4995
Nd 0.4433 0.3333 0.6667
Tb 0.4492 0.8320 0.1680
Y 0.7844 0.5005 0.0009
Tb 0.1217 0.6667 0.3333
Tb 0.1164 0.6642 0.8321
Tb 0.1164 0.1679 0.3358

=====

<x>
Below is a geometry-optimized Tb7NdY3 structure, with properties calculated at the GGA-PBE level.

Summary:
* symmetry: P2/m

a b c (Å): 5.5833 9.9332 8.9731
angles (deg): 105.81 128.47 90.00
Sites, in units of the cell vectors:
Y 0.7223 0.0009 0.2221
Nd 0.5000 0.5000 0.5000
Tb 0.5000 0.0000 0.5000
Tb 0.0810 0.1686 0.0811
Y 0.0000 0.5000 0.0000
Tb 0.1456 0.2917 0.6456
Tb 0.9190 0.8314 0.9189
Tb 0.3255 0.6431 0.8254
Tb 0.8544 0.7083 0.3544
Y 0.2777 0.9991 0.7779
Tb 0.6745 0.3569 0.1746

=====

Which structure wins on stability? <x> wins.